Cu2AgBr after structural relaxation, computed with PBE.

a b c (Å): 4.3384 4.3384 3.5903
angles (deg): 90.00 90.00 90.00
Fractional positions:
Cu 0.0000 0.5000 0.0000
Cu 0.5000 0.0000 0.0000
Ag 0.0000 0.0000 0.5000
Br 0.5000 0.5000 0.5000

=====

Cu3AgBr6 after structural relaxation, computed with PBE.

a b c (Å): 9.9068 9.9068 9.9068
angles (deg): 135.49 93.44 103.12
Fractional positions:
Cu 0.1865 0.7329 0.9194
Cu 0.2500 0.2500 0.0000
Cu 0.3135 0.2329 0.5464
Cu 0.6865 0.7671 0.4536
Cu 0.7500 0.7500 0.0000
Cu 0.8135 0.2671 0.0806
Ag 0.2500 0.7500 0.5000
Ag 0.7500 0.2500 0.5000
Br 0.0671 0.4017 0.1056
Br 0.1700 0.4143 0.5843
Br 0.2038 0.0983 0.6654
Br 0.2962 0.9616 0.8944
Br 0.3300 0.9143 0.2443
Br 0.4329 0.5384 0.3346
Br 0.5671 0.4616 0.6654
Br 0.6700 0.0857 0.7557
Br 0.7038 0.0384 0.1056
Br 0.7962 0.9017 0.3346
Br 0.8300 0.5857 0.4157
Br 0.9329 0.5983 0.8944

=====

Number 1: uncorrected formation energy 360 meV/atom, E_tot -2.82 eV/atom. Number 2: uncorrected formation energy -278 meV/atom, E_tot -2.80 eV/atom.